1.
A relaxed structure of BaScN2O, computed with PBE.

E = -25.33 eV per cell
ΔE_f (raw) = 87 kJ/mol of atoms

Unit cell a=4.5459 b=4.5459 c=4.4018 alpha=90.00 beta=90.00 gamma=90.00
Last column: nearest neighbours and their distance in Å.
Atoms (fractional coordinates):
Ba: 0.0000 0.0000 0.0000  2 O 2.20, 4 N 2.27
Sc: 0.5000 0.5000 0.5000  8 N 3.16, 4 O 3.21
N: 0.0000 0.5000 0.0000  2 Ba 2.27
N: 0.5000 0.0000 0.0000  2 Ba 2.27
O: 0.0000 0.0000 0.5000  2 Ba 2.20

***

2.
A relaxed structure of BaScN2O, computed with PBE.

E = -34.42 eV per cell
ΔE_f (raw) = -88 kJ/mol of atoms

Unit cell a=4.3805 b=4.3805 c=4.1876 alpha=90.00 beta=90.00 gamma=90.00
Last column: nearest neighbours and their distance in Å.
Atoms (fractional coordinates):
Ba: 0.0000 0.0000 0.0000  8 N 3.03, 4 O 3.10
Sc: 0.5000 0.5000 0.5000  2 O 2.09, 4 N 2.19
N: 0.0000 0.5000 0.5000  2 Sc 2.19
N: 0.5000 0.0000 0.5000  2 Sc 2.19
O: 0.5000 0.5000 0.0000  2 Sc 2.09

***

3.
A relaxed structure of BaScNO2, computed with PBE.

E = -25.82 eV per cell
ΔE_f (raw) = 13 kJ/mol of atoms

Unit cell a=4.5735 b=4.5735 c=4.6168 alpha=90.00 beta=90.00 gamma=90.00
Last column: nearest neighbours and their distance in Å.
Atoms (fractional coordinates):
Ba: 0.0000 0.0000 0.0000  4 O 2.29, 2 N 2.31
Sc: 0.5000 0.5000 0.5000  4 N 3.23, 8 O 3.25
N: 0.0000 0.0000 0.5000  2 Ba 2.31
O: 0.0000 0.5000 0.0000  2 Ba 2.29
O: 0.5000 0.0000 0.0000  2 Ba 2.29

***

4.
A relaxed structure of BaSeN2O, computed with PBE.

E = -26.26 eV per cell
ΔE_f (raw) = 15 kJ/mol of atoms

Unit cell a=3.9790 b=3.9790 c=4.4229 alpha=90.00 beta=90.00 gamma=90.00
Last column: nearest neighbours and their distance in Å.
Atoms (fractional coordinates):
Ba: 0.0000 0.0000 0.0000  4 O 2.81, 8 N 2.97
Se: 0.5000 0.5000 0.5000  4 N 1.99, 2 O 2.21
N: 0.0000 0.5000 0.5000  2 Se 1.99
N: 0.5000 0.0000 0.5000  2 Se 1.99
O: 0.5000 0.5000 0.0000  2 Se 2.21

***

5.
A relaxed structure of BaSe2NO, computed with PBE.

E = -15.51 eV per cell
ΔE_f (raw) = 129 kJ/mol of atoms
Offset from the most stable computed form = 1.106 eV per atom

Unit cell a=6.5377 b=6.5377 c=5.4179 alpha=90.00 beta=90.00 gamma=90.00
Last column: nearest neighbours and their distance in Å.
Atoms (fractional coordinates):
Ba: 0.0000 0.0000 0.0000  2 N 2.71
Se: 0.0000 0.5000 0.0000  2 Ba 3.27
Se: 0.5000 0.0000 0.0000  2 Ba 3.27
N: 0.0000 0.0000 0.5000  2 Ba 2.71
O: 0.5000 0.5000 0.5000  8 Se 4.25, 4 N 4.62

***

6.
A relaxed structure of BaSeNO2, computed with PBE.

E = -19.03 eV per cell
ΔE_f (raw) = 89 kJ/mol of atoms

Unit cell a=4.9215 b=4.9215 c=5.4774 alpha=90.00 beta=90.00 gamma=90.00
Last column: nearest neighbours and their distance in Å.
Atoms (fractional coordinates):
Ba: 0.0000 0.0000 0.0000  4 O 2.46, 2 N 2.74
Se: 0.5000 0.5000 0.5000  4 N 3.48, 8 O 3.68
N: 0.0000 0.0000 0.5000  2 Ba 2.74
O: 0.0000 0.5000 0.0000  2 Ba 2.46
O: 0.5000 0.0000 0.0000  2 Ba 2.46

***

7.
A relaxed structure of BaSeNO2, computed with PBE.

E = -26.94 eV per cell
ΔE_f (raw) = -63 kJ/mol of atoms

Unit cell a=4.2032 b=4.2032 c=3.9543 alpha=90.00 beta=90.00 gamma=90.00
Last column: nearest neighbours and their distance in Å.
Atoms (fractional coordinates):
Ba: 0.0000 0.0000 0.0000  8 O 2.89, 4 N 2.97
Se: 0.5000 0.5000 0.5000  2 N 1.98, 4 O 2.10
N: 0.5000 0.5000 0.0000  2 Se 1.98
O: 0.0000 0.5000 0.5000  2 Se 2.10
O: 0.5000 0.0000 0.5000  2 Se 2.10

***

8.
A relaxed structure of BaSeN2O, computed with PBE.

E = -18.74 eV per cell
ΔE_f (raw) = 160 kJ/mol of atoms

Unit cell a=5.5276 b=5.5276 c=4.6586 alpha=90.00 beta=90.00 gamma=90.00
Last column: nearest neighbours and their distance in Å.
Atoms (fractional coordinates):
Ba: 0.0000 0.0000 0.0000  2 O 2.33
Se: 0.5000 0.5000 0.5000  8 N 3.61, 4 O 3.91
N: 0.0000 0.5000 0.0000  2 Ba 2.76
N: 0.5000 0.0000 0.0000  2 Ba 2.76
O: 0.0000 0.0000 0.5000  2 Ba 2.33